[1]
Entry from Alexandria: a relaxed InC crystal (GGA-PBE).

a b c (Å): 5.852 5.852 3.855
angles (deg): 90.00 90.00 90.00
Sites, in units of the cell vectors:
In1 0.231 0.231 0.000
In2 0.769 0.769 0.000
In3 0.269 0.731 0.500
In4 0.731 0.269 0.500
C1 0.903 0.903 0.500
C2 0.597 0.403 0.000
C3 0.097 0.097 0.500
C4 0.403 0.597 0.000

The density of states at the Fermi level comes out at 0.185 states/eV/atom. Its formation energy is 1.226 eV per atom.



[2]
Entry from Alexandria: a relaxed InC2 crystal (GGA-PBE).

a b c (Å): 5.363 5.363 5.363
angles (deg): 132.79 132.79 68.99
Sites, in units of the cell vectors:
In1 0.750 0.250 0.500
In2 0.000 0.000 0.000
C1 0.175 0.675 0.500
C2 0.425 0.425 0.000
C3 0.325 0.825 0.500
C4 0.575 0.575 0.000

The density of states at the Fermi level comes out at 0.314 states/eV/atom. Its formation energy is 1.801 eV per atom.



[3]
Entry from Alexandria: a relaxed InC crystal (GGA-PBE).

a b c (Å): 3.541 3.541 5.334
angles (deg): 90.00 90.00 120.00
Sites, in units of the cell vectors:
C1 0.000 0.000 0.500
C2 0.000 0.000 0.000
In1 0.333 0.667 0.250
In2 0.667 0.333 0.750

The density of states at the Fermi level comes out at 0.481 states/eV/atom. Its formation energy is 1.580 eV per atom.



[4]
Entry from Alexandria: a relaxed In5C crystal (GGA-PBE).

a b c (Å): 9.014 9.014 4.922
angles (deg): 90.00 90.00 157.43
Sites, in units of the cell vectors:
C1 0.500 0.500 0.000
In1 0.909 0.091 0.000
In2 0.183 0.817 0.500
In3 0.091 0.909 0.000
In4 0.500 0.500 0.500
In5 0.817 0.183 0.500

The density of states at the Fermi level comes out at 0.140 states/eV/atom. Its formation energy is 0.527 eV per atom.



[5]
Entry from Alexandria: a relaxed In3C4 crystal (GGA-PBE).

a b c (Å): 5.335 5.335 5.335
angles (deg): 90.00 90.00 90.00
Sites, in units of the cell vectors:
C1 0.698 0.698 0.698
C2 0.302 0.302 0.698
C3 0.302 0.698 0.302
C4 0.698 0.302 0.302
In1 0.500 0.500 0.000
In2 0.000 0.500 0.500
In3 0.500 0.000 0.500

The density of states at the Fermi level comes out at 0.558 states/eV/atom. Its formation energy is 2.183 eV per atom.



[6]
Entry from Alexandria: a relaxed InC crystal (GGA-PBE).

a b c (Å): 9.202 9.202 3.826
angles (deg): 90.00 90.00 90.00
Sites, in units of the cell vectors:
C1 0.500 0.931 0.000
C2 0.267 0.733 0.500
C3 0.931 0.500 0.000
C4 0.267 0.267 0.500
C5 0.500 0.069 0.000
C6 0.733 0.267 0.500
C7 0.069 0.500 0.000
C8 0.733 0.733 0.500
In1 0.822 0.822 0.000
In2 0.178 0.178 0.000
In3 0.178 0.822 0.000
In4 0.500 0.780 0.500
In5 0.220 0.500 0.500
In6 0.780 0.500 0.500
In7 0.500 0.220 0.500
In8 0.822 0.178 0.000

The density of states at the Fermi level comes out at 0.261 states/eV/atom. Its formation energy is 1.051 eV per atom.



[7]
Entry from Alexandria: a relaxed InC crystal (GGA-PBE).

a b c (Å): 4.593 4.593 4.593
angles (deg): 74.83 74.83 74.83
Sites, in units of the cell vectors:
C1 0.936 0.936 0.936
C2 0.064 0.064 0.064
In1 0.302 0.302 0.302
In2 0.698 0.698 0.698

The density of states at the Fermi level comes out at 0.045 states/eV/atom. Its formation energy is 1.019 eV per atom.



[8]
Entry from Alexandria: a relaxed InC2 crystal (GGA-PBE).

a b c (Å): 5.472 5.472 5.472
angles (deg): 152.37 152.37 39.48
Sites, in units of the cell vectors:
C1 0.242 0.242 0.000
C2 0.758 0.758 0.000
In1 0.000 0.000 0.000

The density of states at the Fermi level comes out at 0.583 states/eV/atom. Its formation energy is 2.298 eV per atom.



Repeat the second record exactly.
Entry from Alexandria: a relaxed InC2 crystal (GGA-PBE).

a b c (Å): 5.363 5.363 5.363
angles (deg): 132.79 132.79 68.99
Sites, in units of the cell vectors:
In1 0.750 0.250 0.500
In2 0.000 0.000 0.000
C1 0.175 0.675 0.500
C2 0.425 0.425 0.000
C3 0.325 0.825 0.500
C4 0.575 0.575 0.000

The density of states at the Fermi level comes out at 0.314 states/eV/atom. Its formation energy is 1.801 eV per atom.



> What is the formula in the eighth record?

InC2